A PBEsol-optimized structure of CrGe2Rh, computed with SCAN.

The calculation puts the calculated volume at 53 Å³ per cell. Its formation energy is -0.113 eV per atom. Its space group is Fm-3m. For the size of the total moment, the calculation gives 0.0 μB per cell.

abc: 4.213 4.213 4.213
angles: 60.00 60.00 60.00
Fractional coordinates of all 4 atoms:
Cr 0.000 0.000 0.000
Ge 0.250 0.250 0.250
Ge 0.750 0.750 0.750
Rh 0.500 0.500 0.500